Version i
This record from the Alexandria database describes a relaxed Mn2PdAu2 crystal. The functional is GGA-PBE.

Crystal system: tetragonal

```
data_Mn2PdAu2
_chemical_formula_sum 'Mn4 Pd2 Au4'
_symmetry_space_group_name_H-M 'P 4/m b m'
_symmetry_Int_Tables_number 127
_symmetry_space_group_name_Hall '-P 4 2ab'
_cell_length_a 7.377
_cell_length_b 7.377
_cell_length_c 3.151
_cell_angle_alpha 90.00
_cell_angle_beta 90.00
_cell_angle_gamma 90.00
loop_
_atom_site_label
_atom_site_type_symbol
_atom_site_fract_x
_atom_site_fract_y
_atom_site_fract_z
Mn1 Mn 0.150 0.350 0.000
Pd1 Pd 0.000 0.000 0.000
Au1 Au 0.148 0.648 0.500
```

***

Version ii
This record from the Alexandria database describes a relaxed Mn2PdAu2 crystal. The functional is GGA-PBE.

Crystal system: triclinic

```
data_Mn2PdAu2
_chemical_formula_sum 'Mn4 Pd2 Au4'
_symmetry_space_group_name_H-M 'P -1'
_symmetry_Int_Tables_number 2
_cell_length_a 4.772
_cell_length_b 5.493
_cell_length_c 7.330
_cell_angle_alpha 108.35
_cell_angle_beta 90.73
_cell_angle_gamma 115.06
loop_
_symmetry_equiv_pos_as_xyz
'x,y,z'
'-x,-y,-z'
loop_
_atom_site_label
_atom_site_type_symbol
_atom_site_fract_x
_atom_site_fract_y
_atom_site_fract_z
Mn1 Mn 0.089 0.302 0.044
Mn2 Mn 0.284 0.698 0.455
Pd1 Pd 0.306 0.502 0.750
Au1 Au 0.122 0.118 0.351
Au2 Au 0.497 0.118 0.850
```

***

How do the structures above rank in stability at the extremes? version ii comes first and version i comes last.